The following is a DFT calculation (PBE-GGA) of MnPCN2 after structural relaxation.

a b c (Å): 3.496 3.682 3.496
angles (deg): 90.00 90.00 90.00
Positions (direct):
N: 0.000 0.000 0.500
C: 0.000 0.000 0.000
P: 0.000 0.500 0.000
N: 0.500 0.000 0.000
Mn: 0.500 0.500 0.500

Raw formation energy in eV per formula unit: 10.6